Material: RbTe2PbI
Method: DFT, PBE
State: optimized geometry

## Properties
ΔE_f (raw) in meV per atom: 482
VASP energy in eV/atom: -2.0195
Excess energy over the best structure of this formula in the dataset in meV/atom: 838

```
data_RbTe2PbI
_cell_length_a 6.165
_cell_length_b 6.165
_cell_length_c 6.422
_cell_angle_alpha 90.00
_cell_angle_beta 90.00
_cell_angle_gamma 90.00
_space_group_name_H-M_alt 'P 4/m m m'
_space_group_IT_number 123
_space_group_name_Hall '-P 4 2'
loop_
_atom_site_label
_atom_site_type_symbol
_atom_site_fract_x
_atom_site_fract_y
_atom_site_fract_z
_atom_site_occupancy
Rb1 Rb 0.000 0.000 0.000 1
Te1 Te 0.000 0.500 0.000 1
Pb1 Pb 0.500 0.500 0.500 1
I1 I 0.000 0.000 0.500 1
```


Material: Cs2Rb3F8
Method: DFT, PBE
State: optimized geometry

## Properties
ΔE_f (raw) in meV per atom: -2077
VASP energy in eV/atom: -3.5829

```
data_Cs2Rb3F8
_cell_length_a 10.190
_cell_length_b 13.060
_cell_length_c 5.326
_cell_angle_alpha 90.00
_cell_angle_beta 90.00
_cell_angle_gamma 90.00
_space_group_name_H-M_alt 'C m m m'
_space_group_IT_number 65
_space_group_name_Hall '-C 2 2'
loop_
_atom_site_label
_atom_site_type_symbol
_atom_site_fract_x
_atom_site_fract_y
_atom_site_fract_z
_atom_site_occupancy
Cs1 Cs 0.000 0.208 0.000 1
Rb1 Rb 0.000 0.500 0.000 1
Rb2 Rb 0.211 0.000 0.500 1
F1 F 0.000 0.138 0.500 1
F2 F 0.000 0.423 0.500 1
F3 F 0.246 0.083 0.000 1
```


Material: CsRbLiBi
Method: DFT, PBE
State: optimized geometry

## Properties
Formation energy in kJ per mole of atoms: -25.40
VASP energy in eV/atom: -2.1672

```
data_CsRbLiBi
_cell_length_a 8.547
_cell_length_b 8.547
_cell_length_c 8.547
_cell_angle_alpha 90.00
_cell_angle_beta 90.00
_cell_angle_gamma 90.00
_space_group_name_H-M_alt 'F -4 3 m'
_space_group_IT_number 216
_space_group_name_Hall 'F -4 2 3'
loop_
_atom_site_label
_atom_site_type_symbol
_atom_site_fract_x
_atom_site_fract_y
_atom_site_fract_z
_atom_site_occupancy
Cs1 Cs 0.000 0.000 0.000 1
Rb1 Rb 0.250 0.250 0.750 1
Li1 Li 0.250 0.250 0.250 1
Bi1 Bi 0.000 0.000 0.500 1
```


Material: Sr4Si2Pb5
Method: DFT, PBE
State: optimized geometry

## Properties
ΔE_f (raw) in meV per atom: -370
VASP energy in eV/atom: -3.6530

```
data_Sr4Si2Pb5
_cell_length_a 7.933
_cell_length_b 4.821
_cell_length_c 9.279
_cell_angle_alpha 90.00
_cell_angle_beta 93.10
_cell_angle_gamma 90.00
_space_group_name_H-M_alt 'P 1 2/m 1'
_space_group_IT_number 10
loop_
_space_group_symop_operation_xyz
'x,y,z'
'-x,-y,-z'
'-x,y,-z'
'x,-y,z'
loop_
_atom_site_label
_atom_site_type_symbol
_atom_site_fract_x
_atom_site_fract_y
_atom_site_fract_z
_atom_site_occupancy
Sr1 Sr 0.208 0.000 0.359 1
Sr2 Sr 0.237 0.000 0.903 1
Si1 Si 0.072 0.500 0.116 1
Pb1 Pb 0.132 0.500 0.637 1
Pb2 Pb 0.427 0.500 0.155 1
Pb3 Pb 0.500 0.500 0.500 1
```


Material: GdSnAu
Method: DFT, PBE
State: optimized geometry

## Properties
Formation energy in kJ per mole of atoms: -81.13
VASP energy in eV/atom: -7.9612

```
data_GdSnAu
_cell_length_a 6.782
_cell_length_b 6.782
_cell_length_c 6.782
_cell_angle_alpha 90.00
_cell_angle_beta 90.00
_cell_angle_gamma 90.00
_space_group_name_H-M_alt 'F -4 3 m'
_space_group_IT_number 216
_space_group_name_Hall 'F -4 2 3'
loop_
_atom_site_label
_atom_site_type_symbol
_atom_site_fract_x
_atom_site_fract_y
_atom_site_fract_z
_atom_site_occupancy
Gd1 Gd 0.000 0.000 0.000 1
Sn1 Sn 0.000 0.000 0.500 1
Au1 Au 0.250 0.250 0.750 1
```


Material: Nb5Ru4W
Method: DFT, PBE
State: optimized geometry

## Properties
Formation energy in kJ per mole of atoms: -17.12
VASP energy in eV/atom: -10.2179

```
data_Nb5Ru4W
_cell_length_a 3.231
_cell_length_b 3.231
_cell_length_c 15.635
_cell_angle_alpha 90.00
_cell_angle_beta 90.00
_cell_angle_gamma 90.00
_space_group_name_H-M_alt 'P 4/m m m'
_space_group_IT_number 123
_space_group_name_Hall '-P 4 2'
loop_
_atom_site_label
_atom_site_type_symbol
_atom_site_fract_x
_atom_site_fract_y
_atom_site_fract_z
_atom_site_occupancy
Nb1 Nb 0.000 0.000 0.000 1
Nb2 Nb 0.000 0.000 0.197 1
Nb3 Nb 0.000 0.000 0.399 1
Ru1 Ru 0.500 0.500 0.098 1
Ru2 Ru 0.500 0.500 0.294 1
W1 W 0.500 0.500 0.500 1
```


Material: ScMoOs2
Method: DFT, PBE
State: optimized geometry

## Properties
Formation energy in kJ per mole of atoms: 12.82
VASP energy in eV/atom: -9.7727

```
data_ScMoOs2
_cell_length_a 3.137
_cell_length_b 3.137
_cell_length_c 6.507
_cell_angle_alpha 90.00
_cell_angle_beta 90.00
_cell_angle_gamma 90.00
_space_group_name_H-M_alt 'P 4 m m'
_space_group_IT_number 99
loop_
_space_group_symop_operation_xyz
'x,y,z'
'-y,x,z'
'-x,-y,z'
'y,-x,z'
'-x,y,z'
'y,x,z'
'x,-y,z'
'-y,-x,z'
loop_
_atom_site_label
_atom_site_type_symbol
_atom_site_fract_x
_atom_site_fract_y
_atom_site_fract_z
_atom_site_occupancy
Sc1 Sc 0.000 0.000 0.000 1
Mo1 Mo 0.500 0.500 0.278 1
Os1 Os 0.000 0.000 0.496 1
Os2 Os 0.500 0.500 0.755 1
```


Material: BaNdInPb
Method: DFT, PBE
State: optimized geometry

## Properties
Formation energy in kJ per mole of atoms: -36.09
VASP energy in eV/atom: -3.6583

```
data_BaNdInPb
_cell_length_a 8.196
_cell_length_b 8.196
_cell_length_c 8.196
_cell_angle_alpha 90.00
_cell_angle_beta 90.00
_cell_angle_gamma 90.00
_space_group_name_H-M_alt 'F -4 3 m'
_space_group_IT_number 216
_space_group_name_Hall 'F -4 2 3'
loop_
_atom_site_label
_atom_site_type_symbol
_atom_site_fract_x
_atom_site_fract_y
_atom_site_fract_z
_atom_site_occupancy
Ba1 Ba 0.000 0.000 0.000 1
Nd1 Nd 0.000 0.000 0.500 1
In1 In 0.250 0.250 0.750 1
Pb1 Pb 0.250 0.250 0.250 1
```


Material: RbZnN2
Method: DFT, PBE
State: optimized geometry

## Properties
ΔE_f (raw) in meV per atom: 1332
VASP energy in eV/atom: -3.3913

```
data_RbZnN2
_cell_length_a 3.3711
_cell_length_b 3.3711
_cell_length_c 20.9157
_cell_angle_alpha 90.00
_cell_angle_beta 90.00
_cell_angle_gamma 120.00
_space_group_name_H-M_alt 'R -3 m'
_space_group_IT_number 166
_space_group_name_Hall '-R 3 2"'
loop_
_atom_site_label
_atom_site_type_symbol
_atom_site_fract_x
_atom_site_fract_y
_atom_site_fract_z
_atom_site_occupancy
Rb1 Rb 0.0000 0.0000 0.0000 1
Zn1 Zn 0.0000 0.0000 0.5000 1
N1 N 0.0000 0.0000 0.1248 1
```


Material: MgBeCr
Method: DFT, PBE
State: optimized geometry

## Properties
Formation energy in kJ per mole of atoms: 17.16
VASP energy in eV/atom: -4.8035
Excess energy over the best structure of this formula in the dataset in meV/atom: 73

```
data_MgBeCr
_cell_length_a 3.020
_cell_length_b 3.020
_cell_length_c 9.022
_cell_angle_alpha 90.00
_cell_angle_beta 90.00
_cell_angle_gamma 90.00
_space_group_name_H-M_alt 'P 4 m m'
_space_group_IT_number 99
loop_
_space_group_symop_operation_xyz
'x,y,z'
'-y,x,z'
'-x,-y,z'
'y,-x,z'
'-x,y,z'
'y,x,z'
'x,-y,z'
'-y,-x,z'
loop_
_atom_site_label
_atom_site_type_symbol
_atom_site_fract_x
_atom_site_fract_y
_atom_site_fract_z
_atom_site_occupancy
Mg1 Mg 0.000 0.000 0.000 1
Mg2 Mg 0.500 0.500 0.261 1
Be1 Be 0.000 0.000 0.454 1
Be2 Be 0.000 0.000 0.693 1
Cr1 Cr 0.500 0.500 0.580 1
Cr2 Cr 0.500 0.500 0.801 1
```


Material: NiSb2P
Method: DFT, PBE
State: optimized geometry

## Properties
ΔE_f (raw) in meV per atom: -41
VASP energy in eV/atom: -4.9001

```
data_NiSb2P
_cell_length_a 6.164
_cell_length_b 3.556
_cell_length_c 7.979
_cell_angle_alpha 90.00
_cell_angle_beta 90.07
_cell_angle_gamma 90.00
_space_group_name_H-M_alt 'C 1 m 1'
_space_group_IT_number 8
loop_
_space_group_symop_operation_xyz
'x,y,z'
'x,-y,z'
'x+1/2,y+1/2,z'
'x+1/2,-y+1/2,z'
loop_
_atom_site_label
_atom_site_type_symbol
_atom_site_fract_x
_atom_site_fract_y
_atom_site_fract_z
_atom_site_occupancy
Ni1 Ni 0.000 0.000 0.000 1
Sb1 Sb 0.167 0.500 0.568 1
Sb2 Sb 0.333 0.000 0.199 1
P1 P 0.167 0.500 0.896 1
```


Material: NdSmGe
Method: DFT, PBE
State: optimized geometry

## Properties
Formation energy in kJ per mole of atoms: -55.67
VASP energy in eV/atom: -5.2784
Excess energy over the best structure of this formula in the dataset in meV/atom: 33

```
data_NdSmGe
_cell_length_a 4.492
_cell_length_b 4.481
_cell_length_c 8.345
_cell_angle_alpha 90.00
_cell_angle_beta 90.05
_cell_angle_gamma 90.00
_space_group_name_H-M_alt 'P 1 21/m 1'
_space_group_IT_number 11
loop_
_space_group_symop_operation_xyz
'x,y,z'
'-x,-y,-z'
'-x,y+1/2,-z'
'x,-y+1/2,z'
loop_
_atom_site_label
_atom_site_type_symbol
_atom_site_fract_x
_atom_site_fract_y
_atom_site_fract_z
_atom_site_occupancy
Nd1 Nd 0.250 0.250 0.141 1
Sm1 Sm 0.250 0.750 0.491 1
Ge1 Ge 0.251 0.250 0.773 1
```